Below is a relaxed Pr2Al3Cd crystal, with properties calculated at the PBE level.

Lattice parameters (Å, degrees): 7.691 9.397 16.221 90.00 90.00 90.00
Space group Fmmm (No. 69)
Unique sites:
Pr  0.248  0.000  0.000
Pr  0.250  0.250  0.250
Al  0.000  0.000  0.336
Al  0.000  0.245  0.418
Cd  0.000  0.000  0.167

Calculated values
formation energy	-0.422	eV/atom
size of the total moment	0.00	μB/f.u.